10
Lattice="-2.837 2.486 -5.325 -4.782 -4.413 0.488 -2.341 2.820 2.564" Properties=species:S:1:pos:R:3 comment="Y2Si2Ir, optimized geometry, DFT PBE-GGA" dft_energy_ev_per_cell=-74.801 pbc="T T T"
Ir 0.000 0.000 0.000
Ir -3.810 -0.963 -2.418
Si -2.436 0.986 -3.308
Si -2.132 -1.285 -0.532
Si -5.488 -0.642 -4.305
Si -5.184 -2.913 -1.529
Y -2.930 1.444 -0.361
Y -5.064 2.028 -2.951
Y -4.897 -1.134 0.678
Y -7.031 -0.550 -1.911



36
Lattice="14.131 0.000 0.000 0.000 14.131 0.000 0.000 0.000 4.418" Properties=species:S:1:pos:R:3 comment="CsAg5Se3, optimized geometry, DFT PBE-GGA" dft_energy_ev_per_cell=-113.569 pbc="T T T"
Ag 3.980 1.129 0.000
Ag 6.851 1.539 0.000
Ag 1.129 3.980 0.000
Ag 9.531 4.600 0.000
Ag 1.539 6.851 0.000
Ag 12.592 7.280 0.000
Ag 4.600 9.531 0.000
Ag 13.003 10.151 0.000
Ag 7.280 12.592 0.000
Ag 10.151 13.003 0.000
Ag 8.605 0.214 2.209
Ag 2.465 2.465 2.209
Ag 8.194 3.085 2.209
Ag 13.917 5.527 2.209
Ag 11.046 5.937 2.209
Ag 3.085 8.194 2.209
Ag 0.214 8.605 2.209
Ag 5.937 11.046 2.209
Ag 11.666 11.666 2.209
Ag 5.527 13.917 2.209
Cs 5.447 5.447 0.000
Cs 8.684 8.684 0.000
Cs 12.512 1.619 2.209
Cs 1.619 12.512 2.209
Se 1.366 1.366 0.000
Se 9.512 1.664 0.000
Se 12.467 4.619 0.000
Se 1.664 9.512 0.000
Se 4.619 12.467 0.000
Se 12.765 12.765 0.000
Se 5.401 2.446 2.209
Se 2.446 5.401 2.209
Se 8.432 5.700 2.209
Se 5.700 8.432 2.209
Se 11.685 8.730 2.209
Se 8.730 11.685 2.209



4
Lattice="3.460 -1.347 2.529 -0.236 -3.886 2.244 2.503 -3.498 -1.297" Properties=species:S:1:pos:R:3 comment="NaTaReAs, optimized geometry, DFT PBE-GGA" dft_energy_ev_per_cell=-28.906 de_polymorph_mev_per_atom=0 pbc="T T T"
As 2.864 -4.365 1.738
Na 4.296 -6.548 2.607
Re 1.432 -2.183 0.869
Ta 0.000 0.000 0.000